The following is a PBEsol calculation of a geometry-optimized ZnTeN2F structure, from Alexandria via LeMat-Bulk.

Summary:
The formation energy without anion corrections comes out at 0.67 eV per atom. The symmetry is No. 123. The total DFT energy (no corrections) is -4.149 eV/atom. The calculation puts the magnetization at 0.000 μB per atom.

Cell: 4.061 4.061 4.138 Å, 90.00 90.00 90.00°
Element x y z (fractional)
Zn (0.000, 0.000, 0.000)
Te (0.500, 0.500, 0.500)
N (0.000, 0.500, 0.500)
N (0.500, 0.000, 0.500)
F (0.500, 0.500, 0.000)